one:
Compound: Cr3SbSe
Source: Alexandria via LeMat-Bulk
Functional: PBE-GGA
Structure: relaxed

abc: 4.833 4.833 4.833
angles: 90.00 90.00 90.00
Sites, in units of the cell vectors:
Cr (0.500, 0.000, 0.000)
Cr (0.000, 0.500, 0.000)
Cr (0.000, 0.000, 0.500)
Sb (0.500, 0.500, 0.500)
Se (0.000, 0.000, 0.000)

SG	Pm-3m
DOS at the Fermi energy	4.6	states/eV per cell
calculated volume	112.9	Å³/cell
ρ	5.2	g/cm³
total magnetic moment	12.54	μB per cell

---

two:
Compound: Cr3SbSe
Source: Alexandria via LeMat-Bulk
Functional: PBE-GGA
Structure: relaxed

abc: 5.148 5.148 5.148
angles: 90.00 90.00 90.00
Sites, in units of the cell vectors:
Sb (0.000, 0.000, 0.000)
Se (0.500, 0.500, 0.500)
Cr (0.000, 0.500, 0.000)
Cr (0.500, 0.000, 0.000)
Cr (0.000, 0.000, 0.500)

SG	Pm-3m
DOS at the Fermi energy	5.7	states/eV per cell
calculated volume	136.4	Å³/cell
ρ	4.3	g/cm³
total magnetic moment	13.00	μB per cell

---

Which structure loses on stability? two does.

---

one:
Compound: Cr2SbSe2
Source: Alexandria via LeMat-Bulk
Functional: PBE-GGA
Structure: relaxed

abc: 4.896 4.896 5.676
angles: 64.45 64.45 90.00
Sites, in units of the cell vectors:
Sb (0.000, 0.000, 0.000)
Cr (0.750, 0.250, 0.500)
Cr (0.250, 0.750, 0.500)
Se (0.670, 0.670, 0.660)
Se (0.330, 0.330, 0.340)

SG	I4/mmm
DOS at the Fermi energy	1.3	states/eV per cell
calculated volume	107.8	Å³/cell
ρ	5.9	g/cm³
total magnetic moment	6.97	μB per cell

---

two:
Compound: Cr2SbSe2
Source: Alexandria via LeMat-Bulk
Functional: PBE-GGA
Structure: relaxed

abc: 7.840 7.840 3.340
angles: 90.00 90.00 90.00
Sites, in units of the cell vectors:
Se (0.350, 0.850, 0.000)
Se (0.850, 0.650, 0.000)
Se (0.150, 0.350, 0.000)
Se (0.650, 0.150, 0.000)
Cr (0.153, 0.653, 0.500)
Cr (0.847, 0.347, 0.500)
Cr (0.653, 0.847, 0.500)
Cr (0.347, 0.153, 0.500)
Sb (0.500, 0.500, 0.000)
Sb (0.000, 0.000, 0.000)

SG	P4/mbm
DOS at the Fermi energy	7.1	states/eV per cell
calculated volume	205.3	Å³/cell
ρ	6.2	g/cm³
total magnetic moment	16.06	μB per cell

---

Which structure loses on stability? two does.

---

one:
Compound: CrSbTe2Se
Source: Alexandria via LeMat-Bulk
Functional: PBE-GGA
Structure: relaxed

abc: 4.969 4.969 5.175
angles: 90.00 90.00 90.00
Sites, in units of the cell vectors:
Te (0.500, 0.000, 0.000)
Te (0.000, 0.500, 0.000)
Se (0.500, 0.500, 0.500)
Sb (0.000, 0.000, 0.500)
Cr (0.000, 0.000, 0.000)

SG	P4/mmm
DOS at the Fermi energy	4.7	states/eV per cell
calculated volume	127.7	Å³/cell
ρ	6.6	g/cm³
total magnetic moment	0.00	μB per cell

---

two:
Compound: CrSbTe2Se
Source: Alexandria via LeMat-Bulk
Functional: PBE-GGA
Structure: relaxed

abc: 5.366 5.366 5.402
angles: 90.00 90.00 90.00
Sites, in units of the cell vectors:
Te (0.000, 0.500, 0.000)
Te (0.500, 0.000, 0.000)
Cr (0.500, 0.500, 0.500)
Sb (0.000, 0.000, 0.500)
Se (0.000, 0.000, 0.000)

SG	P4/mmm
DOS at the Fermi energy	5.7	states/eV per cell
calculated volume	155.6	Å³/cell
ρ	5.4	g/cm³
total magnetic moment	0.09	μB per cell

---

Which structure loses on stability? two does.

---

one:
Compound: Cr2Si2Sb
Source: Alexandria via LeMat-Bulk
Functional: PBE-GGA
Structure: relaxed

abc: 6.998 6.998 2.985
angles: 90.00 90.00 90.00
Sites, in units of the cell vectors:
Si (0.133, 0.633, 0.500)
Si (0.367, 0.133, 0.500)
Si (0.867, 0.367, 0.500)
Si (0.633, 0.867, 0.500)
Cr (0.152, 0.348, 0.000)
Cr (0.652, 0.152, 0.000)
Cr (0.848, 0.652, 0.000)
Cr (0.348, 0.848, 0.000)
Sb (0.500, 0.500, 0.000)
Sb (0.000, 0.000, 0.000)

SG	P4/mbm
DOS at the Fermi energy	9.1	states/eV per cell
calculated volume	146.2	Å³/cell
ρ	6.4	g/cm³
total magnetic moment	0.00	μB per cell

---

two:
Compound: Cr2Si2Sb
Source: Alexandria via LeMat-Bulk
Functional: PBE-GGA
Structure: relaxed

abc: 3.410 3.410 6.757
angles: 75.39 75.39 90.00
Sites, in units of the cell vectors:
Si (0.250, 0.750, 0.500)
Si (0.750, 0.250, 0.500)
Cr (0.389, 0.389, 0.222)
Cr (0.611, 0.611, 0.778)
Sb (0.000, 0.000, 0.000)

SG	I4/mmm
DOS at the Fermi energy	4.4	states/eV per cell
calculated volume	73.4	Å³/cell
ρ	6.4	g/cm³
total magnetic moment	0.58	μB per cell

---

Which structure loses on stability? one does.

---

one:
Compound: CrSiSbTe2
Source: Alexandria via LeMat-Bulk
Functional: PBE-GGA
Structure: relaxed

abc: 5.212 5.212 5.088
angles: 90.00 90.00 90.00
Sites, in units of the cell vectors:
Te (0.500, 0.000, 0.000)
Te (0.000, 0.500, 0.000)
Cr (0.000, 0.000, 0.000)
Si (0.500, 0.500, 0.500)
Sb (0.000, 0.000, 0.500)

SG	P4/mmm
DOS at the Fermi energy	5.6	states/eV per cell
calculated volume	138.2	Å³/cell
ρ	5.5	g/cm³
total magnetic moment	2.87	μB per cell

---

two:
Compound: CrSiSbTe2
Source: Alexandria via LeMat-Bulk
Functional: PBE-GGA
Structure: relaxed

abc: 5.174 5.174 5.163
angles: 90.00 90.00 90.00
Sites, in units of the cell vectors:
Si (0.000, 0.000, 0.000)
Te (0.500, 0.000, 0.000)
Te (0.000, 0.500, 0.000)
Sb (0.000, 0.000, 0.500)
Cr (0.500, 0.500, 0.500)

SG	P4/mmm
DOS at the Fermi energy	5.5	states/eV per cell
calculated volume	138.3	Å³/cell
ρ	5.5	g/cm³
total magnetic moment	0.09	μB per cell

---

Which structure loses on stability? two does.

---

one:
Compound: SrCrSb2
Source: Alexandria via LeMat-Bulk
Functional: PBE-GGA
Structure: relaxed

abc: 4.207 4.288 6.709
angles: 71.71 90.00 90.00
Sites, in units of the cell vectors:
Cr (0.500, 0.750, 0.750)
Sb (0.000, 0.960, 0.950)
Sb (0.000, 0.540, 0.550)
Sr (0.500, 0.250, 0.250)

SG	P2/m
DOS at the Fermi energy	1.6	states/eV per cell
calculated volume	114.9	Å³/cell
ρ	5.5	g/cm³
total magnetic moment	3.89	μB per cell

---

two:
Compound: SrCrSb2
Source: Alexandria via LeMat-Bulk
Functional: PBE-GGA
Structure: relaxed

abc: 5.121 5.121 5.121
angles: 60.00 60.00 60.00
Sites, in units of the cell vectors:
Sb (0.750, 0.750, 0.750)
Sb (0.250, 0.250, 0.250)
Sr (0.500, 0.500, 0.500)
Cr (0.000, 0.000, 0.000)

SG	Fm-3m
DOS at the Fermi energy	5.4	states/eV per cell
calculated volume	94.9	Å³/cell
ρ	6.7	g/cm³
total magnetic moment	0.00	μB per cell

---

Which structure loses on stability? two does.

---

one:
Compound: SrCrSb2
Source: Alexandria via LeMat-Bulk
Functional: PBE-GGA
Structure: relaxed

abc: 6.186 6.186 6.186
angles: 137.51 137.51 61.65
Sites, in units of the cell vectors:
Sb (0.250, 0.750, 0.500)
Sb (0.000, 0.000, 0.000)
Sr (0.500, 0.500, 0.000)
Cr (0.750, 0.250, 0.500)

SG	I-4m2
DOS at the Fermi energy	1.8	states/eV per cell
calculated volume	106.7	Å³/cell
ρ	6.0	g/cm³
total magnetic moment	3.88	μB per cell

---

two:
Compound: SrCrSb2
Source: Alexandria via LeMat-Bulk
Functional: PBE-GGA
Structure: relaxed

abc: 3.570 3.570 8.080
angles: 90.00 90.00 90.00
Sites, in units of the cell vectors:
Sr (0.500, 0.500, 0.250)
Sb (0.000, 0.000, 0.952)
Sb (0.000, 0.000, 0.548)
Cr (0.500, 0.500, 0.750)

SG	P4/mmm
DOS at the Fermi energy	2.9	states/eV per cell
calculated volume	103.0	Å³/cell
ρ	6.2	g/cm³
total magnetic moment	3.18	μB per cell

---

Which structure loses on stability? one does.

---

one:
Compound: SrCrSb2
Source: Alexandria via LeMat-Bulk
Functional: PBE-GGA
Structure: relaxed

abc: 4.450 4.450 7.038
angles: 73.39 73.39 57.46
Sites, in units of the cell vectors:
Cr (0.250, 0.250, 0.250)
Sb (0.523, 0.523, 0.426)
Sb (0.977, 0.977, 0.074)
Sr (0.750, 0.750, 0.750)

SG	C2/m
DOS at the Fermi energy	2.1	states/eV per cell
calculated volume	111.1	Å³/cell
ρ	5.7	g/cm³
total magnetic moment	2.93	μB per cell

---

two:
Compound: SrCrSb2
Source: Alexandria via LeMat-Bulk
Functional: PBE-GGA
Structure: relaxed

abc: 5.568 5.568 5.568
angles: 132.27 110.80 88.41
Sites, in units of the cell vectors:
Sb (0.049, 0.049, 0.000)
Sb (0.451, 0.451, 0.000)
Sr (0.750, 0.250, 0.500)
Cr (0.250, 0.750, 0.500)

SG	Immm
DOS at the Fermi energy	2.4	states/eV per cell
calculated volume	113.7	Å³/cell
ρ	5.6	g/cm³
total magnetic moment	3.27	μB per cell

---

Which structure loses on stability? two does.

---

one:
Compound: SrCrSb2
Source: Alexandria via LeMat-Bulk
Functional: PBE-GGA
Structure: relaxed

abc: 8.177 8.177 8.177
angles: 152.46 153.80 38.38
Sites, in units of the cell vectors:
Sb (0.078, 0.078, 0.000)
Sb (0.770, 0.270, 0.500)
Cr (0.204, 0.704, 0.500)
Sr (0.449, 0.449, 0.000)

SG	Imm2
DOS at the Fermi energy	1.9	states/eV per cell
calculated volume	111.4	Å³/cell
ρ	5.7	g/cm³
total magnetic moment	2.69	μB per cell

---

two:
Compound: SrCrSb2
Source: Alexandria via LeMat-Bulk
Functional: PBE-GGA
Structure: relaxed

abc: 5.560 5.560 9.758
angles: 73.45 73.45 90.00
Sites, in units of the cell vectors:
Sb (0.262, 0.625, 0.250)
Sb (0.488, 0.125, 0.250)
Sb (0.375, 0.512, 0.750)
Sb (0.875, 0.738, 0.750)
Sr (0.000, 0.000, 0.000)
Sr (0.750, 0.250, 0.500)
Cr (0.500, 0.500, 0.000)
Cr (0.250, 0.750, 0.500)

SG	I-42d
DOS at the Fermi energy	3.6	states/eV per cell
calculated volume	276.1	Å³/cell
ρ	4.6	g/cm³
total magnetic moment	8.50	μB per cell

---

three:
Compound: SrCrSb2
Source: Alexandria via LeMat-Bulk
Functional: PBE-GGA
Structure: relaxed

abc: 4.433 4.923 4.923
angles: 90.00 90.00 90.00
Sites, in units of the cell vectors:
Sb (0.000, 0.500, 0.500)
Sb (0.000, 0.000, 0.000)
Cr (0.500, 0.000, 0.500)
Sr (0.500, 0.500, 0.000)

SG	P4/mmm
DOS at the Fermi energy	2.5	states/eV per cell
calculated volume	107.5	Å³/cell
ρ	5.9	g/cm³
total magnetic moment	4.55	μB per cell

---

Which structure loses on stability? two does.

---

one:
Compound: SrCrSb2
Source: Alexandria via LeMat-Bulk
Functional: PBE-GGA
Structure: relaxed

abc: 5.397 5.397 5.397
angles: 60.00 60.00 60.00
Sites, in units of the cell vectors:
Sb (0.250, 0.250, 0.250)
Sb (0.000, 0.000, 0.000)
Sr (0.750, 0.750, 0.750)
Cr (0.500, 0.500, 0.500)

SG	F-43m
DOS at the Fermi energy	3.5	states/eV per cell
calculated volume	111.2	Å³/cell
ρ	5.7	g/cm³
total magnetic moment	4.52	μB per cell

---

two:
Compound: SrCrSb2
Source: Alexandria via LeMat-Bulk
Functional: PBE-GGA
Structure: relaxed

abc: 5.224 4.682 5.234
angles: 90.00 90.00 90.00
Sites, in units of the cell vectors:
Cr (0.500, 0.999, 0.829)
Sr (0.000, 0.500, 0.419)
Sb (0.000, 0.001, 0.913)
Sb (0.500, 0.000, 0.339)

SG	Pm
DOS at the Fermi energy	2.5	states/eV per cell
calculated volume	128.0	Å³/cell
ρ	5.0	g/cm³
total magnetic moment	3.21	μB per cell

---

three:
Compound: SrCrSb2
Source: Alexandria via LeMat-Bulk
Functional: PBE-GGA
Structure: relaxed

abc: 7.548 7.548 7.548
angles: 32.84 32.84 32.84
Sites, in units of the cell vectors:
Sb (0.274, 0.274, 0.274)
Sb (0.060, 0.060, 0.060)
Sr (0.497, 0.497, 0.497)
Cr (0.669, 0.669, 0.669)

SG	R3m
DOS at the Fermi energy	1.5	states/eV per cell
calculated volume	112.5	Å³/cell
ρ	5.7	g/cm³
total magnetic moment	2.87	μB per cell

---

four:
Compound: SrCrSb2
Source: Alexandria via LeMat-Bulk
Functional: PBE-GGA
Structure: relaxed

abc: 3.874 3.874 7.736
angles: 90.00 90.00 90.00
Sites, in units of the cell vectors:
Cr (0.500, 0.500, 0.878)
Sr (0.000, 0.000, 0.481)
Sb (0.000, 0.000, 0.910)
Sb (0.500, 0.500, 0.231)

SG	P4mm
DOS at the Fermi energy	2.6	states/eV per cell
calculated volume	116.1	Å³/cell
ρ	5.5	g/cm³
total magnetic moment	3.11	μB per cell

---

Which structure loses on stability? one does.

---

one:
Compound: SrCrSb3
Source: Alexandria via LeMat-Bulk
Functional: PBE-GGA
Structure: relaxed

abc: 5.953 5.953 5.953
angles: 90.00 90.00 90.00
Sites, in units of the cell vectors:
Sb (0.000, 0.000, 0.500)
Sb (0.000, 0.500, 0.000)
Sb (0.500, 0.000, 0.000)
Sr (0.000, 0.000, 0.000)
Cr (0.500, 0.500, 0.500)

SG	Pm-3m
DOS at the Fermi energy	3.6	states/eV per cell
calculated volume	211.0	Å³/cell
ρ	4.0	g/cm³
total magnetic moment	4.78	μB per cell

---

two:
Compound: SrCrSb3
Source: Alexandria via LeMat-Bulk
Functional: PBE-GGA
Structure: relaxed

abc: 5.255 5.255 5.255
angles: 90.00 90.00 90.00
Sites, in units of the cell vectors:
Cr (0.000, 0.000, 0.000)
Sb (0.000, 0.000, 0.500)
Sb (0.500, 0.000, 0.000)
Sb (0.000, 0.500, 0.000)
Sr (0.500, 0.500, 0.500)

SG	Pm-3m
DOS at the Fermi energy	5.5	states/eV per cell
calculated volume	145.1	Å³/cell
ρ	5.8	g/cm³
total magnetic moment	2.38	μB per cell

---

Which structure loses on stability? one does.

---

one:
Compound: Ta2CrSb
Source: Alexandria via LeMat-Bulk
Functional: PBE-GGA
Structure: relaxed

abc: 4.697 4.697 3.292
angles: 90.03 90.03 105.45
Sites, in units of the cell vectors:
Cr (0.500, 0.000, 0.500)
Sb (0.000, 0.500, 0.500)
Ta (0.500, 0.500, 0.000)
Ta (0.000, 0.000, 0.000)

SG	Cmmm
DOS at the Fermi energy	3.6	states/eV per cell
calculated volume	70.0	Å³/cell
ρ	12.7	g/cm³
total magnetic moment	0.51	μB per cell

---

two:
Compound: Ta2CrSb
Source: Alexandria via LeMat-Bulk
Functional: PBE-GGA
Structure: relaxed

abc: 4.092 3.094 6.084
angles: 66.07 90.00 90.00
Sites, in units of the cell vectors:
Cr (0.500, 0.250, 0.250)
Sb (0.500, 0.750, 0.750)
Ta (0.000, 0.439, 0.473)
Ta (0.000, 0.061, 0.027)

SG	P2/m
DOS at the Fermi energy	3.5	states/eV per cell
calculated volume	70.4	Å³/cell
ρ	12.6	g/cm³
total magnetic moment	0.00	μB per cell

---

three:
Compound: Ta2CrSb
Source: Alexandria via LeMat-Bulk
Functional: PBE-GGA
Structure: relaxed

abc: 8.795 8.795 8.795
angles: 20.43 20.43 20.43
Sites, in units of the cell vectors:
Cr (0.504, 0.504, 0.504)
Sb (0.757, 0.757, 0.757)
Ta (0.242, 0.242, 0.242)
Ta (0.998, 0.998, 0.998)

SG	R3m
DOS at the Fermi energy	5.1	states/eV per cell
calculated volume	72.6	Å³/cell
ρ	12.3	g/cm³
total magnetic moment	0.00	μB per cell

---

Which structure loses on stability? three does.